Compound: Tb6Pm3PrTm2
Source: Alexandria
Functional: PBE
Structure: optimized geometry

Cell: 6.203 6.203 11.883 Å, 94.97 94.97 119.96°
Sites, in units of the cell vectors:
Tb (0.083, 0.417, 0.752)
Tb (0.248, 0.248, 0.248)
Tb (0.417, 0.083, 0.752)
Tb (0.583, 0.917, 0.248)
Tb (0.752, 0.752, 0.752)
Tb (0.917, 0.583, 0.248)
Pm (0.000, 0.000, 0.500)
Pm (0.333, 0.667, 0.500)
Pm (0.667, 0.333, 0.500)
Pr (0.500, 0.500, 0.000)
Tm (0.167, 0.833, 0.000)
Tm (0.833, 0.167, 0.000)

Spin magnetization, Bohr magnetons per cell: 0.000
Calculated volume, Å³/atom: 32.51
Space group: C2/m, No. 12
Theoretical density, kg/m3: 7948
DFT formation energy, meV per atom: 16.5